Entry 1:
Compound: Er2PaTe
Source: Alexandria
Functional: PBE
Structure: optimized geometry

Values from the calculation:
M_tot (μB per cell): 0.0
Density (g/cm³): 9.73
E (eV/atom): -5.38
Formation energy from raw total energies (kcal/mol of atoms): 1.508

```
4
Lattice="-1.261 1.632 2.880 1.465 -0.612 3.167 7.010 8.568 0.394" Properties=species:S:1:pos:R:3 pbc="T T T"
Pa 0.000 0.000 0.000
Te 3.607 4.794 3.221
Er 4.951 6.127 0.875
Er 2.263 3.461 5.566
```

Entry 2:
Compound: Er2PaTe
Source: Alexandria
Functional: PBE
Structure: optimized geometry

Values from the calculation:
M_tot (μB per cell): 0.1
Density (g/cm³): 10.40
E (eV/atom): -5.82
Formation energy from raw total energies (kcal/mol of atoms): -8.809

```
4
Lattice="-1.783 2.321 2.289 -2.978 -2.221 -0.069 2.857 -4.028 6.309" Properties=species:S:1:pos:R:3 pbc="T T T"
Pa -0.952 -1.964 4.265
Te -2.381 0.050 1.110
Er 2.196 -3.096 4.849
Er 0.661 -0.932 1.460
```

Entry 3:
Compound: ErPaTe4
Source: Alexandria
Functional: PBE
Structure: optimized geometry

Values from the calculation:
M_tot (μB per cell): 0.1
Density (g/cm³): 6.53
E (eV/atom): -5.35
Formation energy from raw total energies (kcal/mol of atoms): -21.074

```
6
Lattice="4.476 0.000 0.000 0.000 7.184 0.060 0.000 0.072 7.183" Properties=species:S:1:pos:R:3 pbc="T T T"
Er 0.000 3.628 3.622
Pa 2.238 0.000 0.000
Te 2.238 2.183 5.069
Te 0.000 5.826 5.816
Te 4.476 1.430 1.427
Te 2.238 5.073 2.174
```

Entry 4:
Compound: ErPa4Te8
Source: Alexandria
Functional: PBE
Structure: optimized geometry

Values from the calculation:
M_tot (μB per cell): 4.9
Density (g/cm³): 7.43
E (eV/atom): -5.96
Formation energy from raw total energies (kcal/mol of atoms): -17.310

```
13
Lattice="8.741 0.000 0.000 4.371 7.570 0.000 4.371 2.523 7.137" Properties=species:S:1:pos:R:3 pbc="T T T"
Er 13.112 7.570 5.353
Pa 11.272 3.586 2.535
Pa 8.741 7.969 2.535
Pa 8.741 5.047 6.668
Pa 6.211 3.586 2.535
Te 6.771 1.137 0.804
Te 4.371 5.295 0.804
Te 4.371 2.523 4.724
Te 1.970 1.137 0.804
Te 6.754 6.194 4.380
Te 8.741 2.752 4.380
Te 8.741 5.047 1.135
Te 10.728 6.194 4.380
```

Entry 5:
Compound: ErPaTe2
Source: Alexandria
Functional: PBE
Structure: optimized geometry

Values from the calculation:
M_tot (μB per cell): 1.4
Density (g/cm³): 7.95
E (eV/atom): -5.58
Formation energy from raw total energies (kcal/mol of atoms): -11.440

```
4
Lattice="-2.171 -3.203 0.710 1.135 -2.576 2.749 -5.646 3.220 8.163" Properties=species:S:1:pos:R:3 pbc="T T T"
Pa -3.341 -1.280 5.811
Te -4.088 1.707 6.102
Te -2.595 -4.267 5.520
Er 0.000 0.000 0.000
```

Entry 6:
Compound: ErPa2Te4
Source: Alexandria
Functional: PBE
Structure: optimized geometry

Values from the calculation:
M_tot (μB per cell): 5.8
Density (g/cm³): 8.60
E (eV/atom): -6.00
Formation energy from raw total energies (kcal/mol of atoms): -19.346

```
14
Lattice="-0.530 3.953 -0.925 -6.500 -2.689 1.299 1.479 3.746 15.154" Properties=species:S:1:pos:R:3 pbc="T T T"
Er -0.512 4.643 11.071
Er -5.039 0.367 4.457
Pa -1.408 1.430 6.916
Pa -3.582 5.001 14.358
Pa -1.969 0.010 1.170
Pa -4.143 3.581 8.612
Te -4.109 2.050 2.055
Te -3.764 2.925 5.596
Te -1.442 2.960 13.473
Te -1.788 2.085 9.932
Te -5.023 4.169 11.628
Te -0.528 0.842 3.900
Te -0.265 1.977 -0.463
Te 0.474 3.850 7.115
```

Entry 7:
Compound: ErPaTe2
Source: Alexandria
Functional: PBE
Structure: optimized geometry

Values from the calculation:
M_tot (μB per cell): 0.8
Density (g/cm³): 10.37
E (eV/atom): -5.95
Formation energy from raw total energies (kcal/mol of atoms): -19.850

```
4
Lattice="3.748 0.000 0.000 0.000 3.748 0.000 0.000 0.000 7.448" Properties=species:S:1:pos:R:3 pbc="T T T"
Pa 1.874 1.874 3.724
Te 0.000 0.000 5.554
Te 0.000 0.000 1.894
Er 1.874 1.874 0.000
```

Entry 8:
Compound: ErPaTe3
Source: Alexandria
Functional: PBE
Structure: optimized geometry

Values from the calculation:
M_tot (μB per cell): 3.6
Density (g/cm³): 7.43
E (eV/atom): -5.70
Formation energy from raw total energies (kcal/mol of atoms): -23.217

```
10
Lattice="-0.054 4.152 1.080 -7.494 -0.409 1.194 4.314 -2.499 9.822" Properties=species:S:1:pos:R:3 pbc="T T T"
Er -1.235 -1.747 10.915
Er -1.999 2.992 1.181
Pa -5.006 -0.188 4.734
Pa 1.771 1.434 7.362
Te 3.381 -1.066 8.528
Te -6.615 2.311 3.569
Te -2.855 0.417 2.516
Te -0.379 0.828 9.581
Te 0.148 -0.306 5.447
Te -3.382 1.552 6.649
```

Entry 9:
Compound: ErPaTe2
Source: Alexandria
Functional: PBE
Structure: optimized geometry

Values from the calculation:
M_tot (μB per cell): 1.4
Density (g/cm³): 10.36
E (eV/atom): -5.90
Formation energy from raw total energies (kcal/mol of atoms): -18.890

```
4
Lattice="5.291 0.000 0.000 2.646 4.582 0.000 2.646 1.527 4.320" Properties=species:S:1:pos:R:3 pbc="T T T"
Pa 0.000 0.000 0.000
Te 2.646 1.527 1.080
Te 7.937 4.582 3.240
Er 5.291 3.055 2.160
```

Entry 10:
Compound: ErPaTe3
Source: Alexandria
Functional: PBE
Structure: optimized geometry

Values from the calculation:
M_tot (μB per cell): 5.0
Density (g/cm³): 8.21
E (eV/atom): -5.56
Formation energy from raw total energies (kcal/mol of atoms): -20.000

```
20
Lattice="-3.993 3.882 -2.164 -5.529 -7.485 -3.228 -5.241 -0.168 9.366" Properties=species:S:1:pos:R:3 pbc="T T T"
Er -2.764 -3.743 -1.614
Er -4.617 1.857 3.601
Er -1.996 1.941 -1.082
Er -5.385 -3.827 3.069
Pa -8.349 -1.468 4.527
Pa -6.500 -7.065 -0.689
Pa -6.413 -2.303 -0.555
Pa -8.262 3.294 4.662
Te -5.128 2.649 -2.280
Te -8.518 -3.118 1.870
Te -10.677 -3.187 5.728
Te -7.476 -6.351 2.395
Te -9.634 -6.420 6.253
Te -6.245 -0.653 2.103
Te -4.086 -0.584 -1.755
Te -7.287 2.580 1.578
Te -6.564 0.948 5.570
Te -4.715 -4.648 0.353
Te -8.198 -4.720 -1.597
Te -10.047 0.877 3.620
```

Entry 11:
Compound: ErPaTe4
Source: Alexandria
Functional: PBE
Structure: optimized geometry

Values from the calculation:
M_tot (μB per cell): 0.0
Density (g/cm³): 6.48
E (eV/atom): -5.47
Formation energy from raw total energies (kcal/mol of atoms): -23.752

```
6
Lattice="4.378 0.000 0.000 0.000 7.174 0.029 0.000 -0.003 7.420" Properties=species:S:1:pos:R:3 pbc="T T T"
Er 0.000 0.000 0.000
Pa 2.189 -0.001 3.710
Te 0.000 5.421 4.917
Te 2.189 1.725 6.145
Te 2.189 5.446 1.304
Te 0.000 1.750 2.531
```

Entry 12:
Compound: Er2PaTl2Te6
Source: Alexandria
Functional: PBE
Structure: optimized geometry

Values from the calculation:
M_tot (μB per cell): 1.0
Density (g/cm³): 6.97
E (eV/atom): -4.81
Formation energy from raw total energies (kcal/mol of atoms): -22.479

```
11
Lattice="-6.600 -2.714 -2.607 6.472 -1.583 -3.650 1.002 -5.364 6.746" Properties=species:S:1:pos:R:3 pbc="T T T"
Er 2.634 -4.641 0.069
Er -1.759 -5.020 0.420
Pa 0.501 -2.682 3.373
Tl -4.439 -2.527 -2.779
Tl 4.311 -1.770 -3.478
Te 0.619 -6.976 0.202
Te 2.858 -4.659 3.141
Te 0.255 -2.685 0.287
Te -1.491 -5.035 3.488
Te -1.984 -5.003 -2.652
Te 2.366 -4.627 -3.000
```